# GGA+U LaWO4, relaxed
data_LaWO4
_cell_length_a 7.190
_cell_length_b 7.367
_cell_length_c 3.409
_cell_angle_alpha 90.00
_cell_angle_beta 90.00
_cell_angle_gamma 90.00
_space_group_name_H-M_alt 'C m m m'
_space_group_IT_number 65
_space_group_name_Hall '-C 2 2'
loop_
_atom_site_label
_atom_site_type_symbol
_atom_site_fract_x
_atom_site_fract_y
_atom_site_fract_z
La1 La 0.000 0.000 0.000
W1 W 0.000 0.500 0.500
O1 O 0.000 0.330 0.000
O2 O 0.232 0.000 0.500
# Energy, eV per formula unit: -47.6
# Density of states at the Fermi level, states/eV/f.u.: 0.0